Here is CdMoO2F after structural relaxation from the Alexandria database. Energies are from GGA+U.

Structure (POSCAR):
```
CdMoO2F
1.0
4.231 0.000 0.000
0.000 4.231 0.000
0.000 0.000 4.234
Cd Mo O F
1 1 2 1
direct
0.000 0.000 0.000 Cd
0.500 0.500 0.500 Mo
0.000 0.500 0.000 O
0.500 0.000 0.000 O
0.000 0.000 0.500 F
```

Results
Total moment (μB/cell): 3.55
Raw total energy (eV/cell): -21.53
SG: P4/mmm